Na2Cr2AsS6 | the Alexandria database | PBE | optimized geometry; energy relative to the elements, uncorrected = -8.1 eV per formula unit; total energy = -59.4 eV per cell; symmetry = C2/m, No. 12
1.0
6.1720 -0.0353 0.0714
-3.0812 5.3479 0.0714
-1.0834 -1.8623 6.6268
Na Cr As S
2 2 1 6
Cartesian
4.6613 0.8436 0.0714
-1.5705 4.4691 0.0714
-0.5440 2.6255 3.3848
2.5513 0.8247 3.3848
-0.5417 -0.9312 3.3134
1.4725 2.5310 4.7107
-1.6232 0.8788 4.6352
0.5348 0.9193 2.0589
1.5663 -0.9767 4.6352
3.6305 2.5715 2.1344
0.4410 4.4270 2.1344